[1]
Entry from the Open Quantum Materials Database: a relaxed DyGaPO crystal (PBE).

The structure belongs to space group P4/nmm (No. 129, origin choice 2); the cell edges are 4.154, 4.154 and 7.955 Å and the angles 90.00°, 90.00° and 90.00°. The distinct sites, in fractional coordinates, are Dy at (0.250, 0.250, 0.119), Ga at (0.250, 0.750, 0.500), P at (0.250, 0.250, 0.669) and O at (0.250, 0.750, 0.000).

The volume comes out at 17.16 Å³ per atom. The raw total energy is -6.111 eV per atom. The relative energy among the computed polymorphs comes out at 0.000 eV/atom. Its crystal system is tetragonal.



[2]
Entry from the Open Quantum Materials Database: a relaxed WSCl4 crystal (PBE).

The structure belongs to space group P2_1/c (No. 14); the cell edges are 9.009, 12.631 and 12.300 Å and the angles 90.00°, 111.86° and 90.00°. The distinct sites, in fractional coordinates, are W at (0.049, 0.140, 0.421), W at (0.369, 0.589, 0.661), S at (0.007, 0.216, 0.260), S at (0.500, 0.048, 0.238), Cl at (0.088, 0.020, 0.648), Cl at (0.114, 0.545, 0.644), Cl at (0.177, 0.690, 0.043), Cl at (0.189, 0.235, 0.054), Cl at (0.283, 0.051, 0.452), Cl at (0.288, 0.554, 0.463), Cl at (0.387, 0.690, 0.821) and Cl at (0.438, 0.197, 0.861).

The volume comes out at 27.06 Å³ per atom. The raw total energy is -4.857 eV per atom. Its crystal system is monoclinic.



[3]
Entry from the Open Quantum Materials Database: a relaxed HfZrNiGe crystal (PBE).

The structure belongs to space group F-43m (No. 216); the cell edges are 6.596, 6.596 and 6.596 Å and the angles 90.00°, 90.00° and 90.00°. The distinct sites, in fractional coordinates, are Hf at (0.000, 0.000, 0.000), Zr at (0.250, 0.250, 0.750), Ni at (0.000, 0.000, 0.500) and Ge at (0.250, 0.250, 0.250).

The volume comes out at 17.94 Å³ per atom. The raw total energy is -7.031 eV per atom. Its crystal system is cubic.



raw total energy of number 2 (WSCl4)? -4.857 eV per atom